A geometry-optimized Pa2Fe4Si3Ge structure. Source: Alexandria, functional PBE.

Structure (CIF):
```
data_Pa2Fe4Si3Ge
_chemical_formula_sum 'Pa2 Fe4 Si3 Ge1'
_space_group_name_H-M_alt 'P -4 m 2'
_space_group_IT_number 115
_cell_length_a 3.9905
_cell_length_b 3.9905
_cell_length_c 9.3914
_cell_angle_alpha 90.00
_cell_angle_beta 90.00
_cell_angle_gamma 90.00
loop_
_space_group_symop_operation_xyz
'x,y,z'
'y,-x,-z'
'-x,-y,z'
'-y,x,-z'
'-x,y,z'
'-y,-x,-z'
'x,-y,z'
'y,x,-z'
loop_
_atom_site_label
_atom_site_type_symbol
_atom_site_fract_x
_atom_site_fract_y
_atom_site_fract_z
Pa1 Pa 0.0000 0.5000 0.2425
Fe1 Fe 0.0000 0.0000 0.0000
Fe2 Fe 0.0000 0.5000 0.6373
Fe3 Fe 0.5000 0.5000 0.0000
Si1 Si 0.0000 0.5000 0.8780
Si2 Si 0.5000 0.5000 0.5000
Ge1 Ge 0.0000 0.0000 0.5000
```

Summary:
The volume comes out at 149.6 Å³/cell. The calculation puts the uncorrected formation energy at -0.55 eV/atom.